# DyNp3P4 (GGA-PBE, optimized geometry)
data_DyNp3P4
_chemical_formula_sum 'Dy1 Np3 P4'
_symmetry_space_group_name_H-M 'P 1'
_symmetry_Int_Tables_number 1
_cell_length_a 3.966
_cell_length_b 6.873
_cell_length_c 6.873
_cell_angle_alpha 109.40
_cell_angle_beta 90.00
_cell_angle_gamma 90.00
loop_
_symmetry_equiv_pos_as_xyz
'x,y,z'
loop_
_atom_site_label
_atom_site_fract_x
_atom_site_fract_y
_atom_site_fract_z
P1 0.000 0.254 0.254
P2 0.500 0.748 0.252
P3 0.000 0.746 0.746
P4 0.500 0.252 0.748
Np1 0.000 0.000 0.500
Np2 0.000 0.500 0.000
Np3 0.500 0.500 0.500
Dy1 0.500 0.000 0.000
# Crystal system: orthorhombic
# Symmetry: Cmmm (65)
# Calculated volume in Å³ per atom: 22.09
# VASP energy in eV/atom: -9.19
# Formation energy in kJ/mol of formula units: -813.7


# DyNp2P3 (GGA-PBE, optimized geometry)
data_DyNp2P3
_chemical_formula_sum 'Dy4 Np8 P12'
_symmetry_space_group_name_H-M 'P 1'
_symmetry_Int_Tables_number 1
_cell_length_a 6.878
_cell_length_b 6.878
_cell_length_c 12.555
_cell_angle_alpha 100.52
_cell_angle_beta 100.52
_cell_angle_gamma 109.48
loop_
_symmetry_equiv_pos_as_xyz
'x,y,z'
loop_
_atom_site_label
_atom_site_fract_x
_atom_site_fract_y
_atom_site_fract_z
P1 0.505 0.005 0.500
P2 0.745 0.745 0.000
P3 0.828 0.332 0.165
P4 0.168 0.663 0.835
P5 0.913 0.918 0.335
P6 0.582 0.578 0.665
P7 0.082 0.087 0.665
P8 0.995 0.495 0.500
P9 0.255 0.255 0.000
P10 0.337 0.832 0.165
P11 0.668 0.172 0.835
P12 0.422 0.418 0.335
Np1 0.834 0.334 0.668
Np2 0.751 0.751 0.501
Np3 0.001 0.501 0.001
Np4 0.584 0.584 0.168
Np5 0.499 0.999 0.999
Np6 0.416 0.416 0.832
Np7 0.249 0.249 0.499
Np8 0.666 0.166 0.332
Dy1 0.333 0.833 0.666
Dy2 0.917 0.917 0.834
Dy3 0.167 0.667 0.334
Dy4 0.083 0.083 0.166
# Crystal system: orthorhombic
# Symmetry: Fddd (70)
# Calculated volume in Å³ per atom: 22.13
# VASP energy in eV/atom: -8.90
# Formation energy in kJ/mol of formula units: -646.1


# DyNp4P5 (GGA-PBE, optimized geometry)
data_DyNp4P5
_chemical_formula_sum 'Dy1 Np4 P5'
_symmetry_space_group_name_H-M 'P 1'
_symmetry_Int_Tables_number 1
_cell_length_a 3.970
_cell_length_b 5.611
_cell_length_c 10.502
_cell_angle_alpha 105.49
_cell_angle_beta 100.90
_cell_angle_gamma 90.00
loop_
_symmetry_equiv_pos_as_xyz
'x,y,z'
loop_
_atom_site_label
_atom_site_fract_x
_atom_site_fract_y
_atom_site_fract_z
Np1 0.599 0.599 0.198
Np2 0.401 0.401 0.802
Np3 0.201 0.201 0.402
Np4 0.799 0.799 0.598
Dy1 0.000 0.000 0.000
P1 0.602 0.102 0.205
P2 0.398 0.898 0.795
P3 0.000 0.500 0.000
P4 0.199 0.699 0.398
P5 0.801 0.301 0.602
# Crystal system: orthorhombic
# Symmetry: Immm (71)
# Calculated volume in Å³ per atom: 22.11
# VASP energy in eV/atom: -9.36
# Formation energy in kJ/mol of formula units: -981.9


# DyNp5P6 (GGA-PBE, optimized geometry)
data_DyNp5P6
_chemical_formula_sum 'Dy1 Np5 P6'
_symmetry_space_group_name_H-M 'P 1'
_symmetry_Int_Tables_number 1
_cell_length_a 6.839
_cell_length_b 6.878
_cell_length_c 6.854
_cell_angle_alpha 59.88
_cell_angle_beta 80.40
_cell_angle_gamma 70.58
loop_
_symmetry_equiv_pos_as_xyz
'x,y,z'
loop_
_atom_site_label
_atom_site_fract_x
_atom_site_fract_y
_atom_site_fract_z
Np1 0.000 0.333 0.333
Np2 0.500 0.835 0.331
Np3 0.000 0.667 0.667
Np4 0.500 0.165 0.669
Np5 0.500 0.500 0.000
P1 0.252 0.916 0.663
P2 0.252 0.579 0.337
P3 0.749 0.747 0.000
P4 0.251 0.253 0.000
P5 0.748 0.084 0.337
P6 0.748 0.421 0.663
Dy1 0.000 0.000 0.000
# Crystal system: monoclinic
# Symmetry: C2/m (12)
# Calculated volume in Å³ per atom: 21.92
# VASP energy in eV/atom: -9.44
# Formation energy in kJ/mol of formula units: -1107.0


# DyNpP2 (GGA-PBE, optimized geometry)
data_DyNpP2
_chemical_formula_sum 'Dy1 Np1 P2'
_symmetry_space_group_name_H-M 'P 1'
_symmetry_Int_Tables_number 1
_cell_length_a 3.865
_cell_length_b 3.865
_cell_length_c 7.344
_cell_angle_alpha 74.74
_cell_angle_beta 74.74
_cell_angle_gamma 60.00
loop_
_symmetry_equiv_pos_as_xyz
'x,y,z'
loop_
_atom_site_label
_atom_site_fract_x
_atom_site_fract_y
_atom_site_fract_z
P1 0.250 0.250 0.249
P2 0.083 0.083 0.752
Dy1 0.669 0.669 0.992
Np1 0.498 0.498 0.507
# Crystal system: trigonal
# Symmetry: R3m (160)
# Calculated volume in Å³ per atom: 22.63
# VASP energy in eV/atom: -8.16
# Formation energy in kJ/mol of formula units: -412.6
# Energy above the most stable polymorph in this dataset in eV/atom: 0.172